DFT (GGA-PBE) results for a relaxed LiGdBeHg crystal.

Output
E_tot = -5.12 eV per atom
Space-group type = F-43m (216)
ΔH_f (0 K) = -119 meV per atom

Unit cell a=4.6479 b=4.6479 c=4.6479 alpha=60.00 beta=60.00 gamma=60.00
Site moments in Bohr magnetons follow the coordinates.
Element x y z (fractional)
Be: 0.0000 0.0000 0.0000  -0.01
Gd: 0.2500 0.2500 0.2500  7.06
Hg: 0.7500 0.7500 0.7500  -0.01
Li: 0.5000 0.5000 0.5000  0.01

DFT (GGA-PBE) results for a relaxed GdTmBeHg crystal.

Output
E_tot = -5.77 eV per atom
Space-group type = F-43m (216)
ΔH_f (0 K) = -121 meV per atom

Unit cell a=5.0856 b=5.0856 c=5.0856 alpha=60.00 beta=60.00 gamma=60.00
Site moments in Bohr magnetons follow the coordinates.
Element x y z (fractional)
Gd: 0.2500 0.2500 0.2500  7.12
Be: 0.0000 0.0000 0.0000  0.01
Tm: 0.7500 0.7500 0.7500  0.15
Hg: 0.5000 0.5000 0.5000  0.02

DFT (GGA-PBE) results for a relaxed GdHoBe crystal.

Output
E_tot = -7.37 eV per atom
Space-group type = I4mm (107)
ΔH_f (0 K) = 90 meV per atom

Unit cell a=3.4671 b=3.4671 c=6.4881 alpha=105.50 beta=105.50 gamma=90.00
Site moments in Bohr magnetons follow the coordinates.
Element x y z (fractional)
Be: 0.6696 0.6696 0.3393  -0.02
Gd: 0.0296 0.0296 0.0593  7.15
Ho: 0.3007 0.3007 0.6015  0.02

DFT (GGA-PBE) results for a relaxed LiGdHoBe crystal.

Output
E_tot = -5.94 eV per atom
Space-group type = F-43m (216)
ΔH_f (0 K) = 132 meV per atom

Unit cell a=4.9917 b=4.9917 c=4.9917 alpha=60.00 beta=60.00 gamma=60.00
Site moments in Bohr magnetons follow the coordinates.
Element x y z (fractional)
Be: 0.5000 0.5000 0.5000  -0.01
Gd: 0.2500 0.2500 0.2500  7.19
Ho: 0.7500 0.7500 0.7500  0.18
Li: 0.0000 0.0000 0.0000  0.02

DFT (GGA-PBE) results for a relaxed GdHoBeRh crystal.

Output
E_tot = -7.79 eV per atom
Space-group type = F-43m (216)
ΔH_f (0 K) = -356 meV per atom

Unit cell a=4.8608 b=4.8608 c=4.8608 alpha=60.00 beta=60.00 gamma=60.00
Site moments in Bohr magnetons follow the coordinates.
Element x y z (fractional)
Be: 0.7500 0.7500 0.7500  -0.01
Gd: 0.0000 0.0000 0.0000  7.00
Rh: 0.2500 0.2500 0.2500  -0.03
Ho: 0.5000 0.5000 0.5000  0.01

DFT (GGA-PBE) results for a relaxed Gd2BeIn crystal.

Output
E_tot = -8.84 eV per atom
Energy relative to the lowest polymorph listed for this composition = 0 meV per atom
Space-group type = P4/mmm (123)
ΔH_f (0 K) = -187 meV per atom

Unit cell a=3.5510 b=3.5510 c=7.5777 alpha=90.00 beta=90.00 gamma=90.00
Site moments in Bohr magnetons follow the coordinates.
Element x y z (fractional)
Be: 0.5000 0.5000 0.0000  -0.03
Gd: 0.0000 0.0000 0.7803  7.12
Gd: 0.0000 0.0000 0.2197  7.12
In: 0.5000 0.5000 0.5000  -0.02